## SnMoRu2Se (meta-GGA SCAN)

Data for a PBEsol-optimized structure of SnMoRu2Se.

Summary:
* Fermi-level density of states: 3.5 states/eV/f.u.
* crystal system: tetragonal
* VASP energy: -153.775 eV per cell

abc: 4.579 4.579 5.186
angles: 90.00 90.00 90.00
Element x y z (fractional)
Sn 0.000 0.000 0.000
Mo 0.000 0.000 0.500
Ru 0.000 0.500 0.500
Ru 0.500 0.000 0.500
Se 0.500 0.500 0.000